#i
{
  "formula": "Sc2SiW",
  "functional": "PBE",
  "state": "relaxed",
  "lattice_angstrom": [[-1.767, -0.577, 4.254], [0.623, 3.270, 3.236], [-3.586, 2.597, 1.396]],
  "species": ["W", "Si", "Sc", "Sc"],
  "fractional_positions": [[0.500, 0.500, 0.500], [0.000, 0.000, 0.000], [0.250, 0.250, 0.250], [0.750, 0.750, 0.750]],
  "rho_g_cm3": 7.08,
  "dos_ef_per_ev_atom": 0.661
}

#ii
{
  "formula": "Sc2SiW",
  "functional": "PBE",
  "state": "relaxed",
  "lattice_angstrom": [[9.245, -0.007, -0.004], [8.741, 3.010, -0.004], [8.741, 1.459, 2.633]],
  "species": ["Si", "Sc", "Sc", "W"],
  "fractional_positions": [[0.250, 0.250, 0.250], [0.503, 0.503, 0.503], [0.997, 0.997, 0.997], [0.750, 0.750, 0.750]],
  "rho_g_cm3": 6.81,
  "dos_ef_per_ev_atom": 0.732
}

Which is the most stable structure? #i is the most stable.

#i
{
  "formula": "Sc2SiW",
  "functional": "PBE",
  "state": "relaxed",
  "lattice_angstrom": [[8.853, 0.011, 0.006], [8.246, 3.222, 0.006], [8.246, 1.559, 2.820]],
  "species": ["Sc", "Sc", "Si", "W"],
  "fractional_positions": [[0.232, 0.232, 0.232], [0.012, 0.012, 0.012], [0.492, 0.492, 0.492], [0.764, 0.764, 0.764]],
  "rho_g_cm3": 6.26,
  "dos_ef_per_ev_atom": 0.599
}

#ii
{
  "formula": "Sc2SiW",
  "functional": "PBE",
  "state": "relaxed",
  "lattice_angstrom": [[5.388, 0.002, 0.014], [4.585, 2.830, 0.014], [1.286, 0.365, 4.824]],
  "species": ["W", "Sc", "Sc", "Si"],
  "fractional_positions": [[0.222, 0.222, 0.240], [0.980, 0.980, 0.038], [0.773, 0.773, 0.698], [0.525, 0.525, 0.524]],
  "rho_g_cm3": 6.82,
  "dos_ef_per_ev_atom": 0.905
}

#iii
{
  "formula": "Sc2SiW",
  "functional": "PBE",
  "state": "relaxed",
  "lattice_angstrom": [[-0.125, 2.341, -1.665], [1.148, -1.496, -2.172], [-7.883, -2.271, -2.603]],
  "species": ["Sc", "Si", "Sc", "W"],
  "fractional_positions": [[0.000, 0.000, 0.485], [0.500, 0.500, 0.250], [0.000, 0.000, 0.015], [0.500, 0.500, 0.750]],
  "rho_g_cm3": 7.04,
  "dos_ef_per_ev_atom": 0.552
}

Which is the most stable structure? #iii is the most stable.

#i
{
  "formula": "Sc2SiW",
  "functional": "PBE",
  "state": "relaxed",
  "lattice_angstrom": [[-3.577, 2.404, -2.862], [-4.456, 0.663, 2.543], [4.948, 1.006, 1.129]],
  "species": ["Sc", "Si", "Sc", "W"],
  "fractional_positions": [[0.250, 0.750, 0.500], [0.500, 0.500, 0.000], [0.000, 0.000, 0.000], [0.750, 0.250, 0.500]],
  "rho_g_cm3": 7.06,
  "dos_ef_per_ev_atom": 0.769
}

#ii
{
  "formula": "Sc2SiW",
  "functional": "PBE",
  "state": "relaxed",
  "lattice_angstrom": [[-0.670, 4.030, -0.258], [-1.114, -0.405, -3.442], [-5.432, -0.906, -0.059]],
  "species": ["Sc", "W", "Si", "Sc"],
  "fractional_positions": [[0.500, 0.273, 0.328], [0.500, 0.559, 0.756], [0.000, 0.693, 0.489], [0.000, 0.974, 0.926]],
  "rho_g_cm3": 6.47,
  "dos_ef_per_ev_atom": 0.719
}

Which is the most stable structure? #ii is the most stable.